Record 1
LaCd2Re | the Alexandria database | PBEsol | relaxed; relative energy among the computed polymorphs = 0.000 eV per atom
1.0
-2.854 0.079 -0.622
-0.632 -3.168 2.502
-1.077 4.578 5.525
Re Cd La
1 2 1
Direct
0.500 0.500 0.786
0.000 0.000 0.981
0.500 0.500 0.201
0.000 0.000 0.532



Record 2
## La2CdRe (PBEsol)

Data for a relaxed structure of La2CdRe.

Structure (POSCAR):
```
La2CdRe
1.0
3.494 0.000 0.000
0.000 3.494 0.000
0.000 0.000 8.313
Re Cd La
1 1 2
Direct
0.500 0.500 0.000
0.500 0.500 0.500
0.000 0.000 0.791
0.000 0.000 0.209
```



no.,calculated density (Mg/m³),energy of formation from the pure elements (eV per atom),Fermi-level density of states (states/eV per cell)
1,10.5,0.376,2.773
2,9.4,0.095,3.448